# LaGa4Ir2Pd | Alexandria | PBE | optimized geometry
# Volume (Å³/atom): 17.93
# Uncorrected energy (eV per atom): -5.59
# Density of states at the Fermi level (states/eV/f.u.): 4.46
# Total moment (Bohr magnetons per cell): 0.000
# Symmetry: R-3m, No. 166
# Energy relative to the elements (eV per atom): -0.59
data_LaGa4Ir2Pd
_chemical_formula_sum 'La1 Ga4 Ir2 Pd1'
_symmetry_space_group_name_H-M 'P 1'
_symmetry_Int_Tables_number 1
_cell_length_a 4.309
_cell_length_b 4.309
_cell_length_c 9.264
_cell_angle_alpha 76.55
_cell_angle_beta 76.55
_cell_angle_gamma 60.00
loop_
_symmetry_equiv_pos_as_xyz
'x,y,z'
loop_
_atom_site_label
_atom_site_fract_x
_atom_site_fract_y
_atom_site_fract_z
Ir1 0.231 0.231 0.307
Ir2 0.769 0.769 0.693
Ga1 0.130 0.130 0.610
Ga2 0.870 0.870 0.390
Ga3 0.402 0.402 0.793
Ga4 0.598 0.598 0.207
La1 0.000 0.000 0.000
Pd1 0.500 0.500 0.500

# LaGa5Ir2Pd | Alexandria | PBE | optimized geometry
# Volume (Å³/atom): 20.08
# Uncorrected energy (eV per atom): -5.15
# Density of states at the Fermi level (states/eV/f.u.): 5.13
# Total moment (Bohr magnetons per cell): 0.000
# Symmetry: P4/mmm, No. 123
# Energy relative to the elements (eV per atom): -0.38
data_LaGa5Ir2Pd
_chemical_formula_sum 'La1 Ga5 Ir2 Pd1'
_symmetry_space_group_name_H-M 'P 1'
_symmetry_Int_Tables_number 1
_cell_length_a 4.818
_cell_length_b 4.818
_cell_length_c 7.786
_cell_angle_alpha 90.00
_cell_angle_beta 90.00
_cell_angle_gamma 90.00
loop_
_symmetry_equiv_pos_as_xyz
'x,y,z'
loop_
_atom_site_label
_atom_site_fract_x
_atom_site_fract_y
_atom_site_fract_z
Ir1 0.500 0.500 0.205
Ir2 0.500 0.500 0.795
La1 0.000 0.000 0.500
Pd1 0.000 0.000 0.000
Ga1 0.000 0.500 0.179
Ga2 0.500 0.000 0.179
Ga3 0.000 0.500 0.821
Ga4 0.500 0.500 0.500
Ga5 0.500 0.000 0.821

# La2Ga6IrPd | Alexandria | PBE | optimized geometry
# Volume (Å³/atom): 21.02
# Uncorrected energy (eV per atom): -4.77
# Density of states at the Fermi level (states/eV/f.u.): 5.35
# Total moment (Bohr magnetons per cell): 0.000
# Symmetry: C2/m, No. 12
# Energy relative to the elements (eV per atom): -0.57
data_La2Ga6IrPd
_chemical_formula_sum 'La2 Ga6 Ir1 Pd1'
_symmetry_space_group_name_H-M 'P 1'
_symmetry_Int_Tables_number 1
_cell_length_a 6.807
_cell_length_b 6.825
_cell_length_c 8.809
_cell_angle_alpha 49.65
_cell_angle_beta 49.83
_cell_angle_gamma 81.77
loop_
_symmetry_equiv_pos_as_xyz
'x,y,z'
loop_
_atom_site_label
_atom_site_fract_x
_atom_site_fract_y
_atom_site_fract_z
La1 0.742 0.259 0.468
La2 0.258 0.741 0.532
Ga1 0.250 0.246 0.003
Ga2 0.754 0.750 0.499
Ga3 0.750 0.754 0.997
Ga4 0.249 0.752 0.155
Ga5 0.246 0.250 0.501
Ga6 0.751 0.248 0.845
Ir1 0.000 0.000 0.000
Pd1 0.500 0.500 0.000

# La2Ga4Ir3Pd | Alexandria | PBE | optimized geometry
# Volume (Å³/atom): 19.44
# Uncorrected energy (eV per atom): -6.13
# Density of states at the Fermi level (states/eV/f.u.): 5.00
# Total moment (Bohr magnetons per cell): 0.000
# Symmetry: P-4m2, No. 115
# Energy relative to the elements (eV per atom): -0.76
data_La2Ga4Ir3Pd
_chemical_formula_sum 'La2 Ga4 Ir3 Pd1'
_symmetry_space_group_name_H-M 'P 1'
_symmetry_Int_Tables_number 1
_cell_length_a 4.324
_cell_length_b 4.324
_cell_length_c 10.395
_cell_angle_alpha 90.00
_cell_angle_beta 90.00
_cell_angle_gamma 90.00
loop_
_symmetry_equiv_pos_as_xyz
'x,y,z'
loop_
_atom_site_label
_atom_site_fract_x
_atom_site_fract_y
_atom_site_fract_z
Ga1 0.500 0.500 0.000
Ga2 0.500 0.000 0.627
Ga3 0.000 0.000 0.000
Ga4 0.000 0.500 0.373
Ir1 0.500 0.000 0.868
Ir2 0.000 0.000 0.500
Ir3 0.000 0.500 0.132
Pd1 0.500 0.500 0.500
La1 0.000 0.500 0.749
La2 0.500 0.000 0.251

# LaPmGa2Ir2 | Alexandria | PBE | optimized geometry
# Volume (Å³/atom): 21.72
# Uncorrected energy (eV per atom): -6.33
# Density of states at the Fermi level (states/eV/f.u.): 3.86
# Total moment (Bohr magnetons per cell): 0.000
# Symmetry: P-3m1, No. 164
# Energy relative to the elements (eV per atom): -0.76
data_LaPmGa2Ir2
_chemical_formula_sum 'La1 Pm1 Ga2 Ir2'
_symmetry_space_group_name_H-M 'P 1'
_symmetry_Int_Tables_number 1
_cell_length_a 4.396
_cell_length_b 4.396
_cell_length_c 7.788
_cell_angle_alpha 90.00
_cell_angle_beta 90.00
_cell_angle_gamma 120.00
loop_
_symmetry_equiv_pos_as_xyz
'x,y,z'
loop_
_atom_site_label
_atom_site_fract_x
_atom_site_fract_y
_atom_site_fract_z
Ga1 0.333 0.667 0.262
Ga2 0.667 0.333 0.738
La1 0.000 0.000 0.000
Ir1 0.667 0.333 0.258
Ir2 0.333 0.667 0.742
Pm1 0.000 0.000 0.500

# LaGa2IrPt2 | Alexandria | PBE | optimized geometry
# Volume (Å³/atom): 20.79
# Uncorrected energy (eV per atom): -5.89
# Density of states at the Fermi level (states/eV/f.u.): 2.74
# Total moment (Bohr magnetons per cell): 0.000
# Symmetry: P4/mmm, No. 123
# Energy relative to the elements (eV per atom): -0.57
data_LaGa2IrPt2
_chemical_formula_sum 'La1 Ga2 Ir1 Pt2'
_symmetry_space_group_name_H-M 'P 1'
_symmetry_Int_Tables_number 1
_cell_length_a 4.744
_cell_length_b 4.744
_cell_length_c 5.542
_cell_angle_alpha 90.00
_cell_angle_beta 90.00
_cell_angle_gamma 90.00
loop_
_symmetry_equiv_pos_as_xyz
'x,y,z'
loop_
_atom_site_label
_atom_site_fract_x
_atom_site_fract_y
_atom_site_fract_z
Ga1 0.500 0.000 0.000
Ga2 0.000 0.500 0.000
Ir1 0.000 0.000 0.000
Pt1 0.500 0.500 0.741
Pt2 0.500 0.500 0.259
La1 0.000 0.000 0.500

# La2Ga4Ir3Pt | Alexandria | PBE | optimized geometry
# Volume (Å³/atom): 19.38
# Uncorrected energy (eV per atom): -6.25
# Density of states at the Fermi level (states/eV/f.u.): 4.99
# Total moment (Bohr magnetons per cell): 0.000
# Symmetry: P-4m2, No. 115
# Energy relative to the elements (eV per atom): -0.79
data_La2Ga4Ir3Pt
_chemical_formula_sum 'La2 Ga4 Ir3 Pt1'
_symmetry_space_group_name_H-M 'P 1'
_symmetry_Int_Tables_number 1
_cell_length_a 4.289
_cell_length_b 4.289
_cell_length_c 10.536
_cell_angle_alpha 90.00
_cell_angle_beta 90.00
_cell_angle_gamma 90.00
loop_
_symmetry_equiv_pos_as_xyz
'x,y,z'
loop_
_atom_site_label
_atom_site_fract_x
_atom_site_fract_y
_atom_site_fract_z
La1 0.000 0.500 0.748
La2 0.500 0.000 0.252
Ir1 0.500 0.000 0.867
Ir2 0.000 0.500 0.133
Ir3 0.000 0.000 0.500
Pt1 0.500 0.500 0.500
Ga1 0.000 0.000 0.000
Ga2 0.500 0.000 0.629
Ga3 0.500 0.500 0.000
Ga4 0.000 0.500 0.371

# LaGa3IrPt | Alexandria | PBE | optimized geometry
# Volume (Å³/atom): 21.95
# Uncorrected energy (eV per atom): -5.35
# Density of states at the Fermi level (states/eV/f.u.): 3.01
# Total moment (Bohr magnetons per cell): 0.000
# Symmetry: Cmcm, No. 63
# Energy relative to the elements (eV per atom): -0.53
data_LaGa3IrPt
_chemical_formula_sum 'La2 Ga6 Ir2 Pt2'
_symmetry_space_group_name_H-M 'P 1'
_symmetry_Int_Tables_number 1
_cell_length_a 5.939
_cell_length_b 7.910
_cell_length_c 6.861
_cell_angle_alpha 125.20
_cell_angle_beta 90.00
_cell_angle_gamma 90.00
loop_
_symmetry_equiv_pos_as_xyz
'x,y,z'
loop_
_atom_site_label
_atom_site_fract_x
_atom_site_fract_y
_atom_site_fract_z
Ga1 0.500 0.249 0.000
Ga2 0.250 0.261 0.521
Ga3 0.750 0.739 0.479
Ga4 0.500 0.751 0.000
Ga5 0.000 0.751 0.000
Ga6 0.000 0.249 0.000
La1 0.750 0.252 0.504
La2 0.250 0.748 0.496
Ir1 0.250 0.470 0.941
Ir2 0.750 0.530 0.059
Pt1 0.750 0.951 0.902
Pt2 0.250 0.049 0.098

# LaGa4IrPt2 | Alexandria | PBE | optimized geometry
# Volume (Å³/atom): 18.21
# Uncorrected energy (eV per atom): -5.42
# Density of states at the Fermi level (states/eV/f.u.): 4.77
# Total moment (Bohr magnetons per cell): 0.000
# Symmetry: R-3m, No. 166
# Energy relative to the elements (eV per atom): -0.67
data_LaGa4IrPt2
_chemical_formula_sum 'La1 Ga4 Ir1 Pt2'
_symmetry_space_group_name_H-M 'P 1'
_symmetry_Int_Tables_number 1
_cell_length_a 4.306
_cell_length_b 4.306
_cell_length_c 9.403
_cell_angle_alpha 76.76
_cell_angle_beta 76.76
_cell_angle_gamma 60.00
loop_
_symmetry_equiv_pos_as_xyz
'x,y,z'
loop_
_atom_site_label
_atom_site_fract_x
_atom_site_fract_y
_atom_site_fract_z
Ga1 0.867 0.867 0.400
Ga2 0.402 0.402 0.795
Ga3 0.598 0.598 0.205
Ga4 0.133 0.133 0.600
Pt1 0.765 0.765 0.704
Pt2 0.235 0.235 0.296
La1 0.000 0.000 0.000
Ir1 0.500 0.500 0.500

# La2Ga4IrPt3 | Alexandria | PBE | optimized geometry
# Volume (Å³/atom): 19.65
# Uncorrected energy (eV per atom): -5.84
# Density of states at the Fermi level (states/eV/f.u.): 7.97
# Total moment (Bohr magnetons per cell): 0.000
# Symmetry: P-4m2, No. 115
# Energy relative to the elements (eV per atom): -0.94
data_La2Ga4IrPt3
_chemical_formula_sum 'La2 Ga4 Ir1 Pt3'
_symmetry_space_group_name_H-M 'P 1'
_symmetry_Int_Tables_number 1
_cell_length_a 4.317
_cell_length_b 4.317
_cell_length_c 10.543
_cell_angle_alpha 90.00
_cell_angle_beta 90.00
_cell_angle_gamma 90.00
loop_
_symmetry_equiv_pos_as_xyz
'x,y,z'
loop_
_atom_site_label
_atom_site_fract_x
_atom_site_fract_y
_atom_site_fract_z
Ga1 0.500 0.500 0.000
Ga2 0.500 0.000 0.627
Ga3 0.000 0.500 0.373
Ga4 0.000 0.000 0.000
Pt1 0.000 0.500 0.133
Pt2 0.000 0.000 0.500
Pt3 0.500 0.000 0.867
La1 0.500 0.000 0.251
La2 0.000 0.500 0.749
Ir1 0.500 0.500 0.500

# LaGa4Ir2Pt | Alexandria | PBE | optimized geometry
# Volume (Å³/atom): 18.00
# Uncorrected energy (eV per atom): -5.68
# Density of states at the Fermi level (states/eV/f.u.): 4.54
# Total moment (Bohr magnetons per cell): 0.000
# Symmetry: R-3m, No. 166
# Energy relative to the elements (eV per atom): -0.58
data_LaGa4Ir2Pt
_chemical_formula_sum 'La1 Ga4 Ir2 Pt1'
_symmetry_space_group_name_H-M 'P 1'
_symmetry_Int_Tables_number 1
_cell_length_a 4.308
_cell_length_b 4.308
_cell_length_c 9.299
_cell_angle_alpha 76.61
_cell_angle_beta 76.61
_cell_angle_gamma 60.00
loop_
_symmetry_equiv_pos_as_xyz
'x,y,z'
loop_
_atom_site_label
_atom_site_fract_x
_atom_site_fract_y
_atom_site_fract_z
Ga1 0.129 0.129 0.612
Ga2 0.402 0.402 0.795
Ga3 0.598 0.598 0.205
Ga4 0.871 0.871 0.388
La1 0.000 0.000 0.000
Pt1 0.500 0.500 0.500
Ir1 0.230 0.230 0.309
Ir2 0.770 0.770 0.691

# LaGa7Ir2Pt2 | Alexandria | PBE | optimized geometry
# Volume (Å³/atom): 19.68
# Uncorrected energy (eV per atom): -5.18
# Density of states at the Fermi level (states/eV/f.u.): 4.64
# Total moment (Bohr magnetons per cell): 0.000
# Symmetry: C2/m, No. 12
# Energy relative to the elements (eV per atom): -0.52
data_LaGa7Ir2Pt2
_chemical_formula_sum 'La1 Ga7 Ir2 Pt2'
_symmetry_space_group_name_H-M 'P 1'
_symmetry_Int_Tables_number 1
_cell_length_a 4.430
_cell_length_b 5.048
_cell_length_c 10.878
_cell_angle_alpha 97.29
_cell_angle_beta 101.75
_cell_angle_gamma 90.00
loop_
_symmetry_equiv_pos_as_xyz
'x,y,z'
loop_
_atom_site_label
_atom_site_fract_x
_atom_site_fract_y
_atom_site_fract_z
Ga1 0.154 0.866 0.308
Ga2 0.387 0.700 0.773
Ga3 0.500 0.500 0.000
Ga4 0.613 0.300 0.227
Ga5 0.846 0.134 0.692
Ga6 0.725 0.640 0.449
Ga7 0.275 0.360 0.551
Pt1 0.276 0.855 0.552
Pt2 0.724 0.145 0.448
Ir1 0.599 0.794 0.199
Ir2 0.401 0.206 0.801
La1 0.000 0.000 0.000

uncorrected energy of number 9 (LaGa4IrPt2)? -5.42 eV per atom

Look up the volume of the third one. 21.02 Å³/atom